Entry 1:
VASP calculation (PBE) on a geometry-optimized TlPNO2 structure.

Output
**Space group**: No. 123
**Uncorrected formation energy**: 447 kJ/mol of formula units

Unit cell a=4.3204 b=4.3204 c=3.4615 alpha=90.00 beta=90.00 gamma=90.00
Last column: nearest neighbours and their distance in Å.
Sites, in units of the cell vectors:
P 0.0000 0.0000 0.5000  2 N 1.73
Tl 0.5000 0.5000 0.5000  8 O 2.77, 4 P 3.05
O 0.0000 0.5000 0.0000  2 N 2.16
O 0.5000 0.0000 0.0000  2 N 2.16
N 0.0000 0.0000 0.0000  2 P 1.73


Entry 2:
VASP calculation (PBE) on a geometry-optimized TlPN2O structure.

Output
**Space group**: No. 123
**Uncorrected formation energy**: 1037 kJ/mol of formula units

Unit cell a=4.4756 b=4.4756 c=4.1563 alpha=90.00 beta=90.00 gamma=90.00
Last column: nearest neighbours and their distance in Å.
Sites, in units of the cell vectors:
P 0.5000 0.5000 0.5000  8 N 3.05, 4 O 3.16
Tl 0.0000 0.0000 0.0000  2 O 2.08, 4 N 2.24
O 0.0000 0.0000 0.5000  2 Tl 2.08
N 0.0000 0.5000 0.0000  2 Tl 2.24
N 0.5000 0.0000 0.0000  2 Tl 2.24


Entry 3:
VASP calculation (PBE) on a geometry-optimized TlPNO2 structure.

Output
**Space group**: No. 123
**Uncorrected formation energy**: 806 kJ/mol of formula units

Unit cell a=4.0456 b=4.0456 c=5.9782 alpha=90.00 beta=90.00 gamma=90.00
Last column: nearest neighbours and their distance in Å.
Sites, in units of the cell vectors:
P 0.0000 0.0000 0.5000  4 N 2.86, 2 Tl 2.99
Tl 0.0000 0.0000 0.0000  4 O 2.02
O 0.0000 0.5000 0.0000  2 Tl 2.02
O 0.5000 0.0000 0.0000  2 Tl 2.02
N 0.5000 0.5000 0.5000  4 P 2.86


Entry 4:
VASP calculation (PBE) on a geometry-optimized TlPNO2 structure.

Output
**Space group**: No. 123
**Uncorrected formation energy**: -94 kJ/mol of formula units

Unit cell a=3.5460 b=3.5460 c=4.1302 alpha=90.00 beta=90.00 gamma=90.00
Last column: nearest neighbours and their distance in Å.
Sites, in units of the cell vectors:
P 0.0000 0.0000 0.0000  4 O 1.77
Tl 0.5000 0.5000 0.5000  4 N 2.51, 8 O 2.72
O 0.0000 0.5000 0.0000  2 P 1.77
O 0.5000 0.0000 0.0000  2 P 1.77
N 0.0000 0.0000 0.5000  2 P 2.07


Entry 5:
VASP calculation (PBE) on a geometry-optimized TlP2NO structure.

Output
**Energy above the lowest structure with this stoichiometry**: 1407 meV/atom
**Space group**: No. 123
**Uncorrected formation energy**: 1079 kJ/mol of formula units

Unit cell a=5.1325 b=5.1325 c=4.0515 alpha=90.00 beta=90.00 gamma=90.00
Last column: nearest neighbours and their distance in Å.
Sites, in units of the cell vectors:
P 0.0000 0.5000 0.0000  2 Tl 2.57
P 0.5000 0.0000 0.0000  2 Tl 2.57
Tl 0.0000 0.0000 0.0000  2 O 2.03
O 0.0000 0.0000 0.5000  2 Tl 2.03
N 0.5000 0.5000 0.5000  8 P 3.27, 4 O 3.63


Entry 6:
VASP calculation (PBE) on a geometry-optimized TlP2NO structure.

Output
**Energy above the lowest structure with this stoichiometry**: 0 meV/atom
**Space group**: No. 123
**Uncorrected formation energy**: 401 kJ/mol of formula units

Unit cell a=3.6535 b=3.6535 c=6.6532 alpha=90.00 beta=90.00 gamma=90.00
Last column: nearest neighbours and their distance in Å.
Sites, in units of the cell vectors:
P 0.0000 0.5000 0.0000  2 N 1.83
P 0.5000 0.0000 0.0000  2 N 1.83
Tl 0.5000 0.5000 0.5000  4 O 2.58
O 0.0000 0.0000 0.5000  4 Tl 2.58
N 0.0000 0.0000 0.0000  4 P 1.83


Entry 7:
VASP calculation (PBE) on a geometry-optimized TlPN2O structure.

Output
**Space group**: No. 123
**Uncorrected formation energy**: 903 kJ/mol of formula units

Unit cell a=4.3384 b=3.5036 c=4.3384 alpha=90.00 beta=90.00 gamma=90.00
Last column: nearest neighbours and their distance in Å.
Sites, in units of the cell vectors:
P 0.0000 0.5000 0.0000  2 O 1.75
Tl 0.5000 0.5000 0.5000  8 N 2.79, 4 P 3.07
O 0.0000 0.0000 0.0000  2 P 1.75
N 0.0000 0.0000 0.5000  2 O 2.17
N 0.5000 0.0000 0.0000  2 O 2.17


Entry 8:
VASP calculation (PBE) on a geometry-optimized TlPNO2 structure.

Output
**Space group**: No. 123
**Uncorrected formation energy**: 691 kJ/mol of formula units

Unit cell a=4.1710 b=4.1710 c=4.3479 alpha=90.00 beta=90.00 gamma=90.00
Last column: nearest neighbours and their distance in Å.
Sites, in units of the cell vectors:
P 0.5000 0.5000 0.5000  4 N 2.95, 8 O 3.01
Tl 0.0000 0.0000 0.0000  4 O 2.09, 2 N 2.17
O 0.0000 0.5000 0.0000  2 Tl 2.09
O 0.5000 0.0000 0.0000  2 Tl 2.09
N 0.0000 0.0000 0.5000  2 Tl 2.17